A plane-wave DFT calculation with PBE was carried out for a relaxed Sm2Y3Se6 crystal.

Results
Calculated density, g/cm3: 5.72
ΔE_f (raw), eV/atom: -1.78
D(E_F), states/eV per cell: 4.60
Total moment, μB per cell: 0.0
Polymorph energy (0 for the lowest one), meV per atom: 106

Cell: 4.168 4.168 20.246 Å, 84.09 84.09 60.00°
Element x y z (fractional)
Se1 0.360 0.360 0.919
Se2 0.081 0.081 0.756
Se3 0.804 0.804 0.589
Se4 0.196 0.196 0.411
Se5 0.640 0.640 0.081
Se6 0.919 0.919 0.244
Y1 0.720 0.720 0.840
Y2 0.280 0.280 0.160
Y3 0.000 0.000 0.000
Sm1 0.446 0.446 0.661
Sm2 0.554 0.554 0.339

A plane-wave DFT calculation with PBE was carried out for a relaxed Mn2IrPb crystal.

Results
Calculated density, g/cm3: 12.70
D(E_F), states/eV per cell: 3.36
Total moment, μB per cell: 7.3
Formation enthalpy at 0 K, meV per atom: 328.5

Cell: 4.725 4.725 3.104 Å, 90.00 90.00 106.11°
Last column: magnetic moment on the atom in μB.
Element x y z (fractional)
Pb1 0.500 0.000 0.500  -0.10
Ir1 0.000 0.500 0.500  0.33
Mn1 0.000 0.000 0.000  3.42
Mn2 0.500 0.500 0.000  3.42

A plane-wave DFT calculation with PBE was carried out for a relaxed Ta2PAu crystal.

Results
Calculated density, g/cm3: 14.93
D(E_F), states/eV per cell: 3.72
Total moment, μB per cell: 0.0
Formation enthalpy at 0 K, meV per atom: -289.3

Cell: 3.050 3.050 7.053 Å, 90.00 90.00 90.00°
Element x y z (fractional)
Ta1 0.000 0.000 0.289
Ta2 0.000 0.000 0.711
Au1 0.500 0.500 0.000
P1 0.500 0.500 0.500

Q: Which E values were calculated for the entries above? A: -6.299; -7.399; -8.387, in eV per atom.